Computed, not measured: CsCrSb3 at its PBEsol-relaxed geometry at the meta-GGA SCAN level of DFT.

* formation energy from raw total energies: 1.844 eV per atom
* D(E_F): 3.95 states/eV per cell

abc: 5.975 5.975 5.975
angles: 90.00 90.00 90.00
Space group Pm-3m (No. 221)
One atom of each set of equivalent atoms:
Cs: 0.000 0.000 0.000 (multiplicity 1)
Cr: 0.500 0.500 0.500 (multiplicity 1)
Sb: 0.000 0.000 0.500 (multiplicity 3)